# 1
# Re2BTe

Re2BTe after structural relaxation (PBE, the Alexandria database).

Computed properties:
Its energy is -7.9289 eV/atom. The offset from the most stable computed form comes out at 0 kJ/mol of formula units. The calculation puts the density of states at the Fermi level at 1.181 states/eV/atom. As for the space group: I-42d (122). As for the uncorrected formation energy: 750 meV/atom.

CIF file:
```
data_Re2BTe
_cell_length_a 4.6171
_cell_length_b 4.6171
_cell_length_c 7.5710
_cell_angle_alpha 72.25
_cell_angle_beta 72.25
_cell_angle_gamma 90.00
_symmetry_space_group_name_H-M 'P 1'
_symmetry_Int_Tables_number 1
loop_
_symmetry_equiv_pos_as_xyz
'x,y,z'
loop_
_atom_site_label
_atom_site_type_symbol
_atom_site_fract_x
_atom_site_fract_y
_atom_site_fract_z
Re1 Re 0.5048 0.1250 0.2500
Re2 Re 0.2452 0.6250 0.2500
Re3 Re 0.3750 0.4952 0.7500
Re4 Re 0.8750 0.7548 0.7500
B1 B 0.5000 0.5000 0.0000
B2 B 0.2500 0.7500 0.5000
Te1 Te 0.0000 0.0000 0.0000
Te2 Te 0.7500 0.2500 0.5000
```

# 2
# ReB3Te

ReB3Te after structural relaxation (PBE, the Alexandria database).

Computed properties:
Its energy is -4.1757 eV/atom. The offset from the most stable computed form comes out at 751 kJ/mol of formula units. The calculation puts the density of states at the Fermi level at 1.407 states/eV/atom. As for the space group: Pm-3m (221). As for the uncorrected formation energy: 2949 meV/atom.

CIF file:
```
data_ReB3Te
_cell_length_a 4.2692
_cell_length_b 4.2692
_cell_length_c 4.2692
_cell_angle_alpha 90.00
_cell_angle_beta 90.00
_cell_angle_gamma 90.00
_symmetry_space_group_name_H-M 'P 1'
_symmetry_Int_Tables_number 1
loop_
_symmetry_equiv_pos_as_xyz
'x,y,z'
loop_
_atom_site_label
_atom_site_type_symbol
_atom_site_fract_x
_atom_site_fract_y
_atom_site_fract_z
Re1 Re 0.5000 0.5000 0.5000
B1 B 0.0000 0.5000 0.0000
B2 B 0.0000 0.0000 0.5000
B3 B 0.5000 0.0000 0.0000
Te1 Te 0.0000 0.0000 0.0000
```

Question: What is the energy in the second record?
Answer: -4.1757 eV/atom

Question: Which value of offset from the most stable computed form does entry 2 give?
Answer: 751 kJ/mol of formula units

Question: Among the records above, which one has the highest energy?
Answer: ReB3Te